Here is a geometry-optimized TiFe2O4 structure from Alexandria via LeMat-Bulk. Energies are from PBE+U.

POSCAR file:
```
TiFe2O4
1.0
6.0585 0.0090 0.0089
-3.0890 5.3945 -0.0372
-0.1138 3.3575 4.9643
O Fe Ti
8 4 2
Direct
0.2536 0.5042 0.2714 O
0.7489 0.4958 0.2777 O
0.7800 0.0661 0.7123 O
0.7565 0.4981 0.7282 O
0.2578 0.5019 0.7242 O
0.2942 0.0653 0.7204 O
0.7140 0.9339 0.2781 O
0.2290 0.9346 0.2858 O
0.8888 0.7754 0.8647 Fe
0.1136 0.2246 0.1379 Fe
0.5035 0.9984 0.4998 Fe
0.5042 0.0019 0.9981 Fe
0.4763 0.4966 0.4998 Ti
0.9796 0.5032 0.5017 Ti
```

Output
Electronic total energy (eV/atom): -7.664